Density functional theory data (PBE with a Hubbard U) for BaAlCr2O8 after structural relaxation.

Unit cell a=5.397 b=5.397 c=7.240 alpha=90.00 beta=90.00 gamma=120.00
Each line ends with the local moment (μB).
Fractional coordinates of all 12 atoms:
1 O 0.154 0.320 0.661  -0.06
2 O 0.846 0.680 0.339  -0.06
3 O 0.166 0.846 0.661  -0.06
4 O 0.834 0.154 0.339  -0.06
5 O 0.680 0.834 0.661  -0.06
6 O 0.333 0.667 0.961  -0.07
7 O 0.667 0.333 0.039  -0.07
8 O 0.320 0.166 0.339  -0.06
9 Cr 0.333 0.667 0.731  0.75
10 Cr 0.667 0.333 0.269  0.75
11 Ba 0.000 0.000 0.000  0.00
12 Al 0.000 0.000 0.500  0.00

electronic total energy: -83.46 eV/cell
magnetic moment: 0.083 μB per atom